5
Lattice="4.6260 0.0000 0.0000 0.0000 4.6260 0.0000 0.0000 0.0000 4.6260" Properties=species:S:1:pos:R:3 comment="GaAgPd3 | Alexandria | PBE | optimized geometry" formation_energy_ev_per_atom=0.2129 magmom_total_mub_per_cell=0.00 space_group="Pm-3m, No. 221" pbc="T T T"
Pd 2.3130 0.0000 0.0000
Pd 0.0000 0.0000 2.3130
Pd 0.0000 2.3130 0.0000
Ag 2.3130 2.3130 2.3130
Ga 0.0000 0.0000 0.0000